Record 1
DFT (PBE) results for a geometry-optimized Sm12Ge6N structure.

Output
Uncorrected energy ... -5.49 eV/atom
Uncorrected formation energy ... -612 meV per atom

Lattice parameters (Å, degrees): 12.5645 12.5645 12.0037 90.00 90.00 120.00
With the nearest neighbours (Å) after each atom.
Space group R-3 (No. 148, hexagonal axes)
Asymmetric unit:
1 Sm 0.0347 0.2051 0.3918  3 Ge 2.89-3.01
2 Sm 0.0468 0.1882 0.8834  1 N 2.55
3 Ge 0.0533 0.4414 0.3190  6 Sm 2.89-3.15
4 N 0.0000 0.0000 0.0000  6 Sm 2.55

Record 2
DFT (PBE) results for a geometry-optimized SrLi2InAg4 structure.

Output
Calculated formation energy ... -0.178 eV/atom
Uncorrected energy ... -2.63 eV/atom

Lattice parameters (Å, degrees): 4.6522 4.6522 28.3523 90.00 90.00 120.00
With the nearest neighbours (Å) after each atom.
Space group R-3m (No. 166, hexagonal axes)
Asymmetric unit:
1 Sr 0.0000 0.0000 0.0000  8 Ag 3.33-3.46
2 Li 0.0000 0.0000 0.2303  7 Ag 2.74-3.06
3 In 0.0000 0.0000 0.5000  8 Ag 2.76-2.97
4 Ag 0.0000 0.0000 0.1222  4 Li 2.74-3.06, 3 In 2.97
5 Ag 0.0000 0.0000 0.4027  1 In 2.76, 3 Li 2.85, 3 Ag 3.07

Record 3
DFT (PBE) results for a geometry-optimized Li2MnHg structure.

Output
Calculated formation energy ... 0.031 eV/atom
Uncorrected energy ... -3.29 eV/atom

Lattice parameters (Å, degrees): 3.8870 4.2227 8.1351 90.00 90.00 90.00
With the nearest neighbours (Å) after each atom.
Space group Immm (No. 71)
Asymmetric unit:
1 Li 0.0000 0.0000 0.2496  4 Hg 2.81-2.93, 4 Mn 2.82-2.93, 4 Li 2.87
2 Mn 0.0000 0.5000 0.0000  8 Li 2.82-2.93, 4 Hg 2.87
3 Hg 0.0000 0.5000 0.5000  8 Li 2.81-2.93, 4 Mn 2.87

Record 4
DFT (PBE) results for a geometry-optimized LiInPt2 structure.

Output
Calculated formation energy ... -0.242 eV/atom
Uncorrected energy ... -4.43 eV/atom

Lattice parameters (Å, degrees): 3.9683 3.9683 18.0645 90.00 90.00 90.00
With the nearest neighbours (Å) after each atom.
Space group I-42d (No. 122)
Asymmetric unit:
1 Li 0.0000 0.0000 0.0000  4 Pt 2.63, 4 In 2.81
2 In 0.0000 0.0000 0.5000  4 Pt 2.69, 4 Li 2.81
3 Pt 0.2308 0.2500 0.1250  2 Li 2.63, 2 In 2.69, 4 Pt 2.70-2.92

Record 5
DFT (PBE) results for a geometry-optimized BeSb2W structure.

Output
Uncorrected energy ... -5.34 eV/atom
Uncorrected formation energy ... 890 meV per atom

Lattice parameters (Å, degrees): 5.9830 5.9830 11.8567 90.00 90.00 90.00
With the nearest neighbours (Å) after each atom.
Space group I-42d (No. 122)
Asymmetric unit:
1 Be 0.0000 0.0000 0.0000  4 Sb 2.49
2 Sb 0.2217 0.2500 0.1250  2 Be 2.49, 2 W 2.68
3 W 0.0000 0.0000 0.5000  4 Sb 2.68

Record 6
DFT (PBE) results for a geometry-optimized La3Al2ZnO9 structure.

Output
Uncorrected energy ... -7.42 eV/atom
Uncorrected formation energy ... -2872 meV per atom

Lattice parameters (Å, degrees): 5.4367 5.4367 6.7336 90.00 90.00 120.00
With the nearest neighbours (Å) after each atom.
Space group P-3m1 (No. 164)
Asymmetric unit:
1 La 0.0000 0.0000 0.0000  12 O 2.72-2.74
2 La 0.3333 0.6667 0.6590  12 O 2.70-2.78
3 Al 0.3333 0.6667 0.1555  6 O 1.89-1.90
4 Zn 0.0000 0.0000 0.5000  6 O 2.01
5 O 0.0000 0.5000 0.0000  2 Al 1.89
6 O 0.1733 0.3465 0.3265  1 Al 1.90, 1 Zn 2.01